1.
YTmAgOs, optimized geometry, DFT PBE; mass density = 10.6 g cm⁻³; energy of formation = -130 kJ/mol of formula units; relative energy among the computed polymorphs = 0 kJ/mol of formula units; SG = P4mm
1.0
-2.140 2.395 -1.102
0.453 -1.064 -3.192
-5.765 -4.794 0.780
Y Tm Ag Os
1 1 1 1
Cartesian
-5.404 -3.127 -1.530
-2.862 -1.013 -1.874
-0.455 -0.378 0.062
-3.256 -2.707 0.441

---

2.
KTl2Os, optimized geometry, DFT PBE; mass density = 10.2 g cm⁻³; energy of formation = 341 kJ/mol of formula units; relative energy among the computed polymorphs = 128 kJ/mol of formula units; SG = Cmm2
1.0
3.169 0.584 0.000
-0.604 3.165 0.000
0.000 0.000 9.998
K Os Tl
1 1 2
Cartesian
0.000 0.000 5.339
1.282 1.874 7.831
0.000 0.000 9.624
1.282 1.874 2.201

---

3.
CoBiAu2, optimized geometry, DFT PBE; mass density = 13.5 g cm⁻³; energy of formation = 122 kJ/mol of formula units; SG = I-42d
1.0
7.797 0.000 0.000
0.000 7.797 0.000
3.898 3.898 2.668
Co Au Bi
2 4 2
Cartesian
3.898 3.898 0.000
3.898 7.797 1.334
5.504 1.949 0.667
2.293 5.848 0.667
5.848 6.191 2.001
9.746 9.403 2.001
0.000 0.000 0.000
7.797 3.898 1.334

---

4.
MgGaAg2Au2, optimized geometry, DFT PBE; mass density = 10.7 g cm⁻³; energy of formation = -134 kJ/mol of formula units; SG = Pmc2_1
1.0
-0.107 3.780 -2.757
-4.988 1.722 2.554
4.162 4.052 5.395
Mg Ga Ag Au
2 2 4 4
Cartesian
2.034 2.033 2.709
-0.446 2.908 4.005
1.608 5.090 2.946
-2.447 4.432 2.200
-0.070 1.936 -1.314
-0.641 1.114 1.553
1.537 6.790 5.279
-0.327 4.709 6.470
2.051 3.737 5.046
0.153 3.790 1.220
-3.023 2.087 2.979
-1.169 5.793 4.016

---

5.
ZnBOF2, optimized geometry, DFT PBE; mass density = 4.2 g cm⁻³; relative energy among the computed polymorphs = 0 kJ/mol of formula units; SG = P4/mmm; formation energy (no corrections) = -1.39 eV per atom
1.0
-3.509 2.154 -1.555
0.654 -1.797 -3.965
-1.539 -2.027 0.665
Zn B O F
1 1 1 2
Cartesian
-2.197 -0.835 -2.428
0.000 0.000 0.000
-0.769 -1.014 0.332
0.327 -0.898 -1.982
-1.755 1.077 -0.778

---

6.
HgPtPb, optimized geometry, DFT PBE; mass density = 14.1 g cm⁻³; energy of formation = -18 kJ/mol of formula units; relative energy among the computed polymorphs = 16 kJ/mol of formula units; SG = P1
1.0
-4.180 5.902 2.033
0.771 -1.055 6.367
3.270 5.460 1.731
Hg Pt Pb
4 4 4
Cartesian
1.012 1.933 2.231
1.496 5.162 3.505
-1.478 5.024 4.593
0.935 5.336 6.826
0.237 -0.183 3.810
1.663 7.571 5.336
-0.798 4.230 1.938
2.840 3.074 7.271
-0.736 8.461 6.540
-2.185 5.011 7.950
0.012 8.136 3.093
0.316 2.229 5.672

---

7.
YSbAs2, optimized geometry, DFT PBE; mass density = 6.4 g cm⁻³; SG = P4/mmm; formation energy (no corrections) = -0.47 eV per atom
1.0
3.913 0.000 0.000
0.000 3.913 0.000
0.000 0.000 6.110
Y Sb As
1 1 2
Cartesian
1.956 1.956 4.583
1.956 1.956 1.528
0.000 0.000 5.921
0.000 0.000 3.245

---

8.
BeTe2, optimized geometry, DFT PBE; mass density = 5.6 g cm⁻³; relative energy among the computed polymorphs = 49 kJ/mol of formula units; SG = C2/m; formation energy (no corrections) = 0.03 eV per atom
1.0
4.321 -1.426 5.036
6.203 0.726 2.657
0.142 5.089 4.718
Be Te
2 4
Cartesian
1.841 3.235 4.384
8.825 1.155 8.027
5.612 3.607 7.705
8.453 3.083 9.479
5.054 0.782 4.706
2.213 1.306 2.933

---

9.
ScGePt3, optimized geometry, DFT PBE; mass density = 11.6 g cm⁻³; energy of formation = -65 kJ/mol of formula units; relative energy among the computed polymorphs = 0 kJ/mol of formula units; SG = Pm-3m
1.0
-3.938 -2.231 -1.086
2.003 -1.655 -3.861
1.465 -3.734 2.360
Sc Ge Pt
1 1 3
Cartesian
-0.235 -3.810 -1.294
0.000 0.000 0.000
1.001 -0.828 -1.931
0.732 -1.867 1.180
-1.969 -1.116 -0.543

---

10.
Be2AgAs, optimized geometry, DFT PBE; mass density = 6.0 g cm⁻³; energy of formation = 172 kJ/mol of formula units; SG = Immm
1.0
4.537 -0.026 0.025
1.088 4.404 -0.025
-2.582 -2.486 2.782
Be As Ag
2 1 1
Cartesian
0.070 0.055 0.000
2.742 2.134 0.000
0.660 2.054 1.379
2.384 -0.161 1.403

---

11.
Ca2HgF2, optimized geometry, DFT PBE; mass density = 4.7 g cm⁻³; relative energy among the computed polymorphs = 0 kJ/mol of formula units; SG = I4/mmm; formation energy (no corrections) = -2.09 eV per atom
1.0
-1.778 -2.744 3.490
3.299 -3.333 -0.940
3.825 -0.915 4.505
Ca Hg F
2 1 2
Cartesian
1.404 -3.348 4.635
3.942 -3.643 2.420
0.000 0.000 0.000
2.067 -2.133 2.652
3.279 -4.858 4.404

---

12.
LiTaBe2, optimized geometry, DFT PBE; mass density = 6.9 g cm⁻³; energy of formation = 86 kJ/mol of formula units; relative energy among the computed polymorphs = 35 kJ/mol of formula units; SG = Pm
1.0
3.749 0.000 0.000
0.000 2.720 0.052
0.000 1.216 4.907
Be Li Ta
2 1 1
Cartesian
0.000 0.500 0.069
1.874 0.488 1.267
0.000 1.814 2.127
1.874 3.103 3.976

---

Copy entry 12 word for word.
LiTaBe2, optimized geometry, DFT PBE; mass density = 6.9 g cm⁻³; energy of formation = 86 kJ/mol of formula units; relative energy among the computed polymorphs = 35 kJ/mol of formula units; SG = Pm
1.0
3.749 0.000 0.000
0.000 2.720 0.052
0.000 1.216 4.907
Be Li Ta
2 1 1
Cartesian
0.000 0.500 0.069
1.874 0.488 1.267
0.000 1.814 2.127
1.874 3.103 3.976